Entry 1:
YIN2F: single point on PBEsol structure, meta-GGA SCAN.

abc: 4.241 4.241 4.328
angles: 90.00 90.00 90.00
Element x y z (fractional)
Y: 0.000 0.000 0.000
I: 0.500 0.500 0.500
N: 0.000 0.500 0.500
N: 0.500 0.000 0.500
F: 0.500 0.500 0.000

The formation energy from raw total energies is 0.26 eV/atom.


Entry 2:
TeOsPb2: single point on PBEsol structure, meta-GGA SCAN.

abc: 3.197 3.197 9.525
angles: 90.00 90.00 90.00
Element x y z (fractional)
Te: 0.000 0.000 0.000
Os: 0.000 0.000 0.500
Pb: 0.500 0.500 0.310
Pb: 0.500 0.500 0.690

The formation energy from raw total energies is 0.57 eV/atom.


Entry 3:
GaBi2O: single point on PBEsol structure, meta-GGA SCAN.

abc: 4.804 4.804 4.804
angles: 60.00 60.00 60.00
Element x y z (fractional)
Ga: 0.000 0.000 0.000
Bi: 0.250 0.250 0.250
Bi: 0.750 0.750 0.750
O: 0.500 0.500 0.500

The formation energy from raw total energies is 0.16 eV/atom. The energy relative to the lowest polymorph listed for this composition is 0.252 eV/atom.


Entry 4:
RbBeCd3: single point on PBEsol structure, meta-GGA SCAN.

abc: 4.936 4.936 4.936
angles: 90.00 90.00 90.00
Element x y z (fractional)
Rb: 0.000 0.000 0.000
Be: 0.500 0.500 0.500
Cd: 0.000 0.500 0.500
Cd: 0.500 0.000 0.500
Cd: 0.500 0.500 0.000

The calculation puts the energy of formation at 127 meV per atom. The energy relative to the lowest polymorph listed for this composition is 0.000 eV/atom.


Entry 5:
BiMo2NO: single point on PBEsol structure, meta-GGA SCAN.

abc: 3.856 3.856 5.452
angles: 90.00 90.00 90.00
Element x y z (fractional)
Bi: 0.000 0.000 0.000
Mo: 0.000 0.500 0.500
Mo: 0.500 0.000 0.500
N: 0.500 0.500 0.500
O: 0.500 0.500 0.000

The formation energy from raw total energies is 0.58 eV/atom.


Entry 6:
ReRhBr2: single point on PBEsol structure, meta-GGA SCAN.

abc: 2.895 4.342 5.459
angles: 90.00 90.00 90.00
Element x y z (fractional)
Re: 0.000 0.000 0.000
Rh: 0.500 0.000 0.500
Br: 0.000 0.500 0.500
Br: 0.500 0.500 0.000

The formation energy from raw total energies is 1.21 eV/atom. The energy relative to the lowest polymorph listed for this composition is 0.478 eV/atom.